First-principles (PBE) data for a relaxed CuSbMo3 crystal, as listed in Alexandria.

The structure in CIF format:
```
data_CuSbMo3
_chemical_formula_sum 'Cu1 Sb1 Mo3'
_cell_length_a 4.883
_cell_length_b 4.883
_cell_length_c 4.883
_cell_angle_alpha 90.00
_cell_angle_beta 90.00
_cell_angle_gamma 90.00
_space_group_name_H-M_alt 'P m -3 m'
_space_group_IT_number 221
_space_group_name_Hall '-P 4 2 3'
loop_
_atom_site_label
_atom_site_fract_x
_atom_site_fract_y
_atom_site_fract_z
_atom_site_occupancy
Cu1 0.000 0.000 0.000 1
Sb1 0.500 0.500 0.500 1
Mo1 0.000 0.500 0.500 1
```

* E above lowest polymorph: 840 meV/atom
* V: 23.29 A^3/atom
* energy relative to the elements, uncorrected: 11.20 eV per formula unit

=====

First-principles (PBE) data for a relaxed Na3Ac3PuSe8 crystal, as listed in Alexandria.

The structure in CIF format:
```
data_Na3Ac3PuSe8
_chemical_formula_sum 'Na9 Ac9 Pu3 Se24'
_cell_length_a 8.9500
_cell_length_b 8.9500
_cell_length_c 20.9031
_cell_angle_alpha 90.00
_cell_angle_beta 90.00
_cell_angle_gamma 120.00
_space_group_name_H-M_alt 'R -3 m'
_space_group_IT_number 166
_space_group_name_Hall '-R 3 2"'
loop_
_atom_site_label
_atom_site_fract_x
_atom_site_fract_y
_atom_site_fract_z
_atom_site_occupancy
Na1 0.0000 0.5000 0.0000 1
Ac1 0.0000 0.5000 0.5000 1
Pu1 0.0000 0.0000 0.5000 1
Se1 0.0000 0.0000 0.2485 1
Se2 0.0256 0.5128 0.2428 1
```

* V: 32.22 A^3/atom
* energy relative to the elements, uncorrected: -24.12 eV per formula unit

=====

First-principles (PBE) data for a relaxed PuZn2CrN4 crystal, as listed in Alexandria.

The structure in CIF format:
```
data_PuZn2CrN4
_chemical_formula_sum 'Pu4 Zn8 Cr4 N16'
_cell_length_a 6.932
_cell_length_b 7.142
_cell_length_c 8.371
_cell_angle_alpha 90.00
_cell_angle_beta 90.00
_cell_angle_gamma 90.00
_space_group_name_H-M_alt 'F m m 2'
_space_group_IT_number 42
_space_group_name_Hall 'F 2 -2'
loop_
_atom_site_label
_atom_site_fract_x
_atom_site_fract_y
_atom_site_fract_z
_atom_site_occupancy
Pu1 0.000 0.000 0.000 1
Zn1 0.250 0.250 0.261 1
Cr1 0.000 0.000 0.518 1
N1 0.000 0.209 0.397 1
N2 0.216 0.000 0.642 1
```

* V: 12.95 A^3/atom
* energy relative to the elements, uncorrected: -3.06 eV per formula unit

=====

First-principles (PBE) data for a relaxed TmLu2Pa crystal, as listed in Alexandria.

The structure in CIF format:
```
data_TmLu2Pa
_chemical_formula_sum 'Tm1 Lu2 Pa1'
_cell_length_a 3.375
_cell_length_b 3.375
_cell_length_c 9.949
_cell_angle_alpha 90.00
_cell_angle_beta 90.00
_cell_angle_gamma 90.00
_space_group_name_H-M_alt 'P 4/m m m'
_space_group_IT_number 123
_space_group_name_Hall '-P 4 2'
loop_
_atom_site_label
_atom_site_fract_x
_atom_site_fract_y
_atom_site_fract_z
_atom_site_occupancy
Tm1 0.000 0.000 0.000 1
Lu1 0.500 0.500 0.263 1
Pa1 0.000 0.000 0.500 1
```

* E above lowest polymorph: 0 meV/atom
* V: 28.33 A^3/atom
* energy of formation from the pure elements: 0.1153 eV/atom

=====

Number 1: DOS(E_F) 9.32 states/eV/f.u.. Number 2: DOS(E_F) 11.93 states/eV/f.u.. Number 3: DOS(E_F) 7.20 states/eV/f.u.. Number 4: DOS(E_F) 6.72 states/eV/f.u..